[1]
! Th4SiSbTe2 | Alexandria via LeMat-Bulk | PBE-GGA | optimized geometry; values from VASP
&SYSTEM
  ibrav = 0, nat = 8, ntyp = 4
/
ATOMIC_SPECIES
Th 232.04 Th.upf
Si 28.09 Si.upf
Sb 121.76 Sb.upf
Te 127.60 Te.upf
CELL_PARAMETERS angstrom
-0.784 2.983 -3.119
2.485 -4.978 -5.386
-7.607 -0.963 0.990
ATOMIC_POSITIONS angstrom
Th -1.469 -0.054 -2.767
Th -4.437 -2.903 -4.747
Th -5.257 -2.148 -0.734
Th 0.134 -3.793 -3.662
Si 0.851 -0.997 -4.252
Sb 0.000 0.000 0.000
Te -4.195 1.010 -1.064
Te -2.561 -2.970 -2.198
! uncorrected formation energy	-0.97	eV per atom
! DOS(E_F)	5.58	states/eV/cell
! E	-6.66	eV/atom
! V	31.0	Å³ per atom

=====

[2]
! Y8Ho6Tl | Alexandria via LeMat-Bulk | PBE-GGA | optimized geometry; values from VASP
&SYSTEM
  ibrav = 0, nat = 15, ntyp = 3
/
ATOMIC_SPECIES
Y 88.91 Y.upf
Ho 164.93 Ho.upf
Tl 204.38 Tl.upf
CELL_PARAMETERS angstrom
-5.411 1.282 3.890
1.844 -7.428 5.013
3.585 8.091 2.321
ATOMIC_POSITIONS angstrom
Y -1.857 -3.658 9.092
Y -1.102 1.459 8.456
Y -4.124 -1.165 5.117
Y 1.875 5.603 2.131
Y 1.120 0.486 2.768
Y 4.141 3.110 6.106
Y -1.359 3.952 6.355
Y 1.376 -2.007 4.869
Ho -1.744 -3.660 5.938
Ho 0.597 -1.201 8.384
Ho -1.394 0.421 5.080
Ho 1.762 5.605 5.286
Ho -0.579 3.146 2.840
Ho 1.412 1.524 6.144
Tl -2.706 0.641 1.945
! DOS(E_F)	21.02	states/eV/cell
! formation energy	218	meV per atom
! E	-5.22	eV/atom
! V	32.8	Å³ per atom

=====

[3]
! UB2Ir3 | Alexandria via LeMat-Bulk | PBE-GGA | optimized geometry; values from VASP
&SYSTEM
  ibrav = 0, nat = 6, ntyp = 3
/
ATOMIC_SPECIES
U 238.03 U.upf
B 10.81 B.upf
Ir 192.22 Ir.upf
CELL_PARAMETERS angstrom
5.470 0.000 0.000
-2.735 4.738 0.000
0.000 0.000 3.154
ATOMIC_POSITIONS angstrom
U 0.000 0.000 0.000
B 2.735 1.579 0.000
B 0.000 3.158 0.000
Ir 2.735 0.000 1.577
Ir -1.368 2.369 1.577
Ir 1.368 2.369 1.577
! DOS(E_F)	6.77	states/eV/cell
! formation energy	-493	meV per atom
! E	-9.03	eV/atom
! V	13.6	Å³ per atom

=====

[4]
! RbBaAs | Alexandria via LeMat-Bulk | PBE-GGA | optimized geometry; values from VASP
&SYSTEM
  ibrav = 0, nat = 3, ntyp = 3
/
ATOMIC_SPECIES
As 74.92 As.upf
Ba 137.33 Ba.upf
Rb 85.47 Rb.upf
CELL_PARAMETERS angstrom
5.663 0.000 0.000
2.831 4.904 0.000
2.831 1.635 4.623
ATOMIC_POSITIONS angstrom
As 2.831 1.635 1.156
Ba 0.000 0.000 0.000
Rb 5.663 3.269 2.312
! formation energy	-693	meV per atom
! E	-3.21	eV/atom
! V	42.8	Å³ per atom

=====

[5]
! Tb2CuGe2O8 | Alexandria via LeMat-Bulk | PBE-GGA | optimized geometry; values from VASP
&SYSTEM
  ibrav = 0, nat = 26, ntyp = 4
/
ATOMIC_SPECIES
Tb 158.93 Tb.upf
Cu 63.55 Cu.upf
Ge 72.64 Ge.upf
O 16.00 O.upf
CELL_PARAMETERS angstrom
-3.723 -3.341 -7.442
6.650 -4.916 3.468
-2.150 -4.494 1.396
ATOMIC_POSITIONS angstrom
Tb 2.457 -5.866 -0.659
Tb -0.036 -5.488 -3.281
Tb 4.172 -8.358 2.794
Tb -3.699 -7.163 -5.485
Cu -2.752 -4.255 -4.158
Cu 3.334 -5.179 2.243
Ge 1.704 -8.617 -2.864
Ge -3.245 -6.431 -2.286
Ge 1.144 -7.098 2.331
Ge -1.123 -7.169 0.033
O 2.622 -9.837 1.690
O -2.913 -8.997 -4.131
O 2.290 -9.753 -1.618
O 0.347 -9.458 -3.662
O 1.436 -4.291 -1.985
O -2.270 -6.170 -3.796
O 2.732 -6.929 1.465
O -1.587 -6.032 -1.295
O 0.323 -6.321 0.713
O 1.196 -7.054 -2.155
O -0.256 -2.953 -0.183
O -1.343 -3.534 -2.828
O 2.208 -4.073 0.907
O -2.086 -4.419 1.346
O 4.021 -7.366 -1.310
O 0.488 -6.829 -5.026
! uncorrected formation energy	-2.28	eV per atom
! E	-7.07	eV/atom
! V	12.5	Å³ per atom

=====

[6]
! CeZrZnGa | Alexandria via LeMat-Bulk | PBE-GGA | optimized geometry; values from VASP
&SYSTEM
  ibrav = 0, nat = 4, ntyp = 4
/
ATOMIC_SPECIES
Zn 65.41 Zn.upf
Ga 69.72 Ga.upf
Zr 91.22 Zr.upf
Ce 140.12 Ce.upf
CELL_PARAMETERS angstrom
4.943 0.000 0.000
2.471 4.280 0.000
2.471 1.427 4.036
ATOMIC_POSITIONS angstrom
Zn 7.414 4.280 3.027
Ga 2.471 1.427 1.009
Zr 0.000 0.000 0.000
Ce 4.943 2.854 2.018
! DOS(E_F)	6.60	states/eV/cell
! formation energy	-299	meV per atom
! E	-4.99	eV/atom
! V	21.3	Å³ per atom

=====

[7]
! ErInRu2 | Alexandria via LeMat-Bulk | PBE-GGA | optimized geometry; values from VASP
&SYSTEM
  ibrav = 0, nat = 4, ntyp = 3
/
ATOMIC_SPECIES
Ru 101.07 Ru.upf
In 114.82 In.upf
Er 167.26 Er.upf
CELL_PARAMETERS angstrom
3.346 0.000 0.000
0.000 3.346 0.000
0.000 0.000 6.462
ATOMIC_POSITIONS angstrom
Ru 0.000 0.000 4.945
Ru 0.000 0.000 1.517
In 1.673 1.673 0.000
Er 1.673 1.673 3.231
! DOS(E_F)	6.09	states/eV/cell
! formation energy	-148	meV per atom
! E	-6.61	eV/atom
! V	18.1	Å³ per atom

=====

[8]
! La2BeGaW | Alexandria via LeMat-Bulk | PBE-GGA | optimized geometry; values from VASP
&SYSTEM
  ibrav = 0, nat = 5, ntyp = 4
/
ATOMIC_SPECIES
Be 9.01 Be.upf
Ga 69.72 Ga.upf
W 183.84 W.upf
La 138.91 La.upf
CELL_PARAMETERS angstrom
5.489 0.000 0.000
0.000 4.987 0.000
0.000 0.000 5.489
ATOMIC_POSITIONS angstrom
Be 2.745 2.494 2.745
Ga 0.000 2.494 0.000
W 0.000 0.000 0.000
La 0.000 0.000 2.745
La 2.745 0.000 0.000
! DOS(E_F)	3.88	states/eV/cell
! formation energy	692	meV per atom
! E	-5.22	eV/atom
! V	30.1	Å³ per atom

=====

[9]
! Al2Pd3Au2 | Alexandria via LeMat-Bulk | PBE-GGA | optimized geometry; values from VASP
&SYSTEM
  ibrav = 0, nat = 7, ntyp = 3
/
ATOMIC_SPECIES
Al 26.98 Al.upf
Pd 106.42 Pd.upf
Au 196.97 Au.upf
CELL_PARAMETERS angstrom
4.049 0.002 -1.140
-2.212 3.850 -0.116
-0.136 -0.317 7.394
ATOMIC_POSITIONS angstrom
Al 2.347 1.378 0.579
Al -0.647 2.157 5.558
Pd 0.000 0.000 0.000
Pd 1.492 0.862 5.395
Pd 0.208 2.674 0.742
Au 0.735 0.418 2.640
Au 0.966 3.117 3.497
! DOS(E_F)	2.20	states/eV/cell
! formation energy	-533	meV per atom
! E	-4.76	eV/atom
! V	16.2	Å³ per atom

=====

[10]
! CaScAu | Alexandria via LeMat-Bulk | PBE-GGA | optimized geometry; values from VASP
&SYSTEM
  ibrav = 0, nat = 3, ntyp = 3
/
ATOMIC_SPECIES
Sc 44.96 Sc.upf
Ca 40.08 Ca.upf
Au 196.97 Au.upf
CELL_PARAMETERS angstrom
4.711 0.000 0.000
-2.355 4.079 0.000
0.000 0.000 4.171
ATOMIC_POSITIONS angstrom
Sc 2.355 1.360 3.472
Ca 0.000 2.720 1.388
Au 0.000 0.000 3.483
! DOS(E_F)	3.18	states/eV/cell
! formation energy	-372	meV per atom
! E	-4.24	eV/atom
! V	26.7	Å³ per atom

=====

[11]
! Tb2Ni4As3Au | Alexandria via LeMat-Bulk | PBE-GGA | optimized geometry; values from VASP
&SYSTEM
  ibrav = 0, nat = 10, ntyp = 4
/
ATOMIC_SPECIES
Tb 158.93 Tb.upf
Ni 58.69 Ni.upf
As 74.92 As.upf
Au 196.97 Au.upf
CELL_PARAMETERS angstrom
4.083 0.000 0.000
0.000 4.083 0.000
0.000 0.000 9.955
ATOMIC_POSITIONS angstrom
Tb 2.041 0.000 2.410
Tb 0.000 2.041 7.545
Ni 2.041 2.041 0.000
Ni 0.000 0.000 0.000
Ni 2.041 0.000 6.408
Ni 0.000 2.041 3.547
As 0.000 0.000 4.977
As 2.041 0.000 8.678
As 0.000 2.041 1.277
Au 2.041 2.041 4.977
! DOS(E_F)	7.24	states/eV/cell
! formation energy	-701	meV per atom
! E	-5.66	eV/atom
! V	16.6	Å³ per atom

=====

[12]
! LiCa2La | Alexandria via LeMat-Bulk | PBE-GGA | optimized geometry; values from VASP
&SYSTEM
  ibrav = 0, nat = 4, ntyp = 3
/
ATOMIC_SPECIES
Ca 40.08 Ca.upf
La 138.91 La.upf
Li 6.94 Li.upf
CELL_PARAMETERS angstrom
-5.268 2.495 0.670
-4.446 -1.548 -3.501
-4.475 -3.127 2.150
ATOMIC_POSITIONS angstrom
Ca 0.000 0.000 0.000
Ca -3.547 -0.545 -0.170
La -7.094 -1.090 -0.340
Li -10.641 -1.635 -0.510
! DOS(E_F)	4.97	states/eV/cell
! formation energy	155	meV per atom
! E	-2.56	eV/atom
! V	35.7	Å³ per atom